1.
Crystalline Mg16ZrAl12 at its relaxed geometry, computed with PBEsol.

Computed properties:
- excess energy over the best structure of this formula in the dataset (meV per atom) = 0
- energy relative to the elements (eV/atom) = -0.04
- symmetry = R3m, No. 160
- spin magnetization (μB per formula unit) = 0.000

```
Mg16ZrAl12
1.0
-4.1926 7.6623 0.4435
-0.2935 -3.9628 8.2027
4.1548 5.2424 6.1910
Al Mg Zr
12 16 1
direct
0.8088 0.6356 0.0000
0.1890 0.1810 0.1773
0.0080 0.8190 0.3583
0.8088 0.0000 0.3644
0.1733 0.3644 0.6356
0.8053 0.1817 0.8183
0.1890 0.8227 0.8190
0.0080 0.6417 0.1810
0.6237 0.8183 0.0000
0.6237 0.0000 0.1817
0.3664 0.1773 0.6417
0.3664 0.3583 0.8227
0.6040 0.3263 0.0000
0.0012 0.3120 0.3936
0.9952 0.0000 0.6604
0.6892 0.6880 0.7056
0.3157 0.5946 0.0000
0.3157 0.0000 0.4054
0.6555 0.6604 0.3396
0.0012 0.6064 0.6880
0.7211 0.4054 0.5946
0.0040 0.0000 0.0000
0.2776 0.6737 0.3263
0.3948 0.7056 0.6064
0.9952 0.3396 0.0000
0.6040 0.0000 0.6737
0.6892 0.2944 0.3120
0.3948 0.3936 0.2944
0.3714 0.0000 0.0000
```



2.
Crystalline MgZr2Al at its relaxed geometry, computed with PBEsol.

Computed properties:
- energy relative to the elements (eV/atom) = -0.13
- symmetry = I-4m2, No. 119
- spin magnetization (μB per formula unit) = 0.000

```
MgZr2Al
1.0
-1.8442 3.1283 -2.0669
-0.9826 -2.6261 -3.0979
-2.5573 -1.2181 4.6616
Mg Zr Al
1 2 1
direct
0.2500 0.7500 0.5000
0.7500 0.2500 0.5000
0.0000 0.0000 0.0000
0.5000 0.5000 0.0000
```



3.
Crystalline MgZr2Al at its relaxed geometry, computed with PBEsol.

Computed properties:
- energy relative to the elements (eV/atom) = -0.19
- symmetry = Pmmm, No. 47
- spin magnetization (μB per formula unit) = 0.000

```
MgZr2Al
1.0
-0.9056 -1.3186 2.6077
3.9515 -0.0912 1.3261
-0.7425 5.6547 2.6014
Zr Mg Al
2 1 1
direct
0.0000 0.0000 0.7609
0.0000 0.0000 0.2391
0.5000 0.5000 0.5000
0.5000 0.5000 0.0000
```



4.
Crystalline Mn3Al at its relaxed geometry, computed with PBEsol.

Computed properties:
- energy relative to the elements (eV/atom) = -0.10
- symmetry = Immm, No. 71
- spin magnetization (μB per formula unit) = 0.002

```
Mn3Al
1.0
2.8142 0.0000 0.0000
0.0000 3.9490 0.0000
-1.4071 -1.9745 3.9366
Mn Al
3 1
direct
0.2413 0.2413 0.4827
0.7587 0.7587 0.5173
0.5000 0.0000 0.0000
0.0000 0.5000 0.0000
```